A plane-wave DFT calculation with PBE-GGA was carried out for a relaxed La2CdHg crystal.

a b c (Å): 3.861 5.502 5.629
angles (deg): 90.00 90.00 90.00
Space group Pmm2 (No. 25)
Symmetry-distinct sites (fractional):
La 0.000 0.000 0.000
La 0.000 0.500 0.444
Cd 0.500 0.500 0.933
Hg 0.500 0.000 0.515

Values from the calculation:
N(E_F), states/eV/cell: 4.7
Energy of formation from the pure elements, meV per atom: -412
Final energy, eV per atom: -3.179
Total magnetic moment, μB/f.u.: 0.6
Calculated density, kg/m³: 8205
Crystal system: orthorhombic
Energy relative to the lowest polymorph listed for this composition, meV/atom: 2


A plane-wave DFT calculation with PBE-GGA was carried out for a relaxed Tb2Pm4Y3 crystal.

a b c (Å): 11.374 5.105 10.811
angles (deg): 90.00 108.23 90.00
Space group C2/m (No. 12)
Symmetry-distinct sites (fractional):
Tb 0.167 0.000 0.223
Pm 0.000 0.500 0.333
Pm 0.167 0.000 0.888
Y 0.000 0.500 0.000
Y 0.166 0.000 0.555

Values from the calculation:
N(E_F), states/eV/cell: 24.1
Energy of formation from the pure elements, meV per atom: 15
Final energy, eV per atom: -5.280
Total magnetic moment, μB/f.u.: 0.0
Calculated density, kg/m³: 6487
Crystal system: monoclinic
Energy relative to the lowest polymorph listed for this composition, meV/atom: 0


A plane-wave DFT calculation with PBE-GGA was carried out for a relaxed SrBeSn2N crystal.

a b c (Å): 5.978 5.978 3.155
angles (deg): 90.00 90.00 90.00
Space group P4/mmm (No. 123)
Symmetry-distinct sites (fractional):
Sr 0.000 0.000 0.000
Be 0.500 0.500 0.000
Sn 0.000 0.500 0.500
N 0.500 0.500 0.500

Values from the calculation:
N(E_F), states/eV/cell: 1.4
Final energy, eV per atom: -4.426
Formation energy from raw total energies, eV/atom: -0.079
Total magnetic moment, μB/f.u.: 0.0
Calculated density, kg/m³: 5127
Crystal system: tetragonal


A plane-wave DFT calculation with PBE-GGA was carried out for a relaxed K4InMo crystal.

a b c (Å): 10.082 10.082 10.082
angles (deg): 90.00 90.00 90.00
Space group F-43m (No. 216)
Symmetry-distinct sites (fractional):
K 0.125 0.125 0.125
In 0.000 0.000 0.500
Mo 0.250 0.250 0.750

Values from the calculation:
N(E_F), states/eV/cell: 12.4
Energy of formation from the pure elements, meV per atom: 994
Final energy, eV per atom: -1.999
Total magnetic moment, μB/f.u.: 4.4
Calculated density, kg/m³: 2379
Crystal system: cubic


A plane-wave DFT calculation with PBE-GGA was carried out for a relaxed Ti2Ni2B crystal.

a b c (Å): 5.322 5.322 4.278
angles (deg): 90.00 90.00 90.00
Space group P4/mbm (No. 127)
Symmetry-distinct sites (fractional):
Ti 0.173 0.327 0.000
Ni 0.155 0.655 0.500
B 0.000 0.000 0.500

Values from the calculation:
N(E_F), states/eV/cell: 7.0
Energy of formation from the pure elements, meV per atom: -226
Final energy, eV per atom: -7.032
Total magnetic moment, μB/f.u.: 0.0
Calculated density, kg/m³: 6137
Crystal system: tetragonal
Energy relative to the lowest polymorph listed for this composition, meV/atom: 0


A plane-wave DFT calculation with PBE-GGA was carried out for a relaxed NaMgGa2Ir crystal.

a b c (Å): 4.824 4.824 5.063
angles (deg): 90.00 90.00 90.00
Space group P4/mmm (No. 123)
Symmetry-distinct sites (fractional):
Na 0.000 0.000 0.000
Mg 0.500 0.500 0.000
Ga 0.000 0.500 0.500
Ir 0.500 0.500 0.500

Values from the calculation:
N(E_F), states/eV/cell: 2.1
Energy of formation from the pure elements, meV per atom: -281
Final energy, eV per atom: -3.847
Total magnetic moment, μB/f.u.: 0.0
Calculated density, kg/m³: 5341
Crystal system: tetragonal